DFT (PBE-GGA) results for Er5Co2B6 after structural relaxation.

Results
Magnetic moment (μB per atom): 0.001
DFT total energy (eV/cell): -84.3
Symmetry: R-3m (166)

Cell: 8.229 8.229 8.229 Å, 38.13 38.13 38.13°
Atoms (fractional coordinates):
Er  0.000  0.000  0.000
Er  0.252  0.252  0.252
Er  0.416  0.416  0.416
Er  0.584  0.584  0.584
Er  0.748  0.748  0.748
Co  0.119  0.119  0.119
Co  0.881  0.881  0.881
B  0.169  0.500  0.831
B  0.169  0.831  0.500
B  0.500  0.169  0.831
B  0.500  0.831  0.169
B  0.831  0.169  0.500
B  0.831  0.500  0.169